An optimized crystal structure of Ho3Mg5In2, computed with GGA-PBE.

Cell and atoms, written as CIF:
```
data_Ho3Mg5In2
_space_group_name_H-M_alt 'I b a m'
_space_group_IT_number 72
_space_group_name_Hall '-I 2 2c'
_cell_length_a 12.3908
_cell_length_b 13.7790
_cell_length_c 6.1924
_cell_angle_alpha 90.00
_cell_angle_beta 90.00
_cell_angle_gamma 90.00
loop_
_atom_site_label
_atom_site_type_symbol
_atom_site_fract_x
_atom_site_fract_y
_atom_site_fract_z
Ho1 Ho 0.0000 0.0000 0.2500
Ho2 Ho 0.1270 0.2309 0.0000
Mg1 Mg 0.0000 0.5000 0.2500
Mg2 Mg 0.1126 0.3492 0.5000
Mg3 Mg 0.2434 0.5000 0.2500
In1 In 0.1405 0.1520 0.5000
```

Calculated values
Formation enthalpy at 0 K in eV/atom: -0.063
Energy in eV/atom: -2.7808
Crystal system: orthorhombic
V in A^3/atom: 26.43